This record from Alexandria describes a PBEsol-optimized structure of YPF2. The functional is SCAN.

a = 8.2286 Å, b = 8.2286 Å, c = 8.2286 Å
α = 151.79°, β = 151.79°, γ = 40.32°
Fractional coordinates of all 8 atoms:
1 Y 0.0000 0.0000 0.0000
2 Y 0.7500 0.2500 0.5000
3 P 0.2500 0.7500 0.5000
4 P 0.5000 0.5000 0.0000
5 F 0.0838 0.6250 0.9588
6 F 0.3750 0.3338 0.4588
7 F 0.6662 0.1250 0.0412
8 F 0.8750 0.9162 0.5412

Results
Formation energy (no corrections) (eV/atom): -2.32



This record from Alexandria describes a PBEsol-optimized structure of ZnPF2. The functional is SCAN.

a = 5.3273 Å, b = 5.3273 Å, c = 5.3273 Å
α = 108.47°, β = 108.47°, γ = 111.48°
Fractional coordinates of all 8 atoms:
1 Zn 0.0000 0.0000 0.0000
2 Zn 0.7500 0.2500 0.5000
3 P 0.2500 0.7500 0.5000
4 P 0.5000 0.5000 0.0000
5 F 0.0132 0.6250 0.8882
6 F 0.3750 0.2632 0.3882
7 F 0.7368 0.1250 0.1118
8 F 0.8750 0.9868 0.6118

Results
Formation energy (no corrections) (eV/atom): -0.80



This record from Alexandria describes a PBEsol-optimized structure of ZrPF2. The functional is SCAN.

a = 8.0270 Å, b = 8.0270 Å, c = 8.0270 Å
α = 152.23°, β = 152.23°, γ = 39.67°
Fractional coordinates of all 8 atoms:
1 Zr 0.0000 0.0000 0.0000
2 Zr 0.7500 0.2500 0.5000
3 P 0.2500 0.7500 0.5000
4 P 0.5000 0.5000 0.0000
5 F 0.0367 0.6250 0.9117
6 F 0.3750 0.2867 0.4117
7 F 0.7133 0.1250 0.0883
8 F 0.8750 0.9633 0.5883

Results
Formation energy (no corrections) (eV/atom): -2.09



This record from Alexandria describes a PBEsol-optimized structure of Zr3PF. The functional is SCAN.

a = 4.8502 Å, b = 4.8502 Å, c = 4.8502 Å
α = 90.00°, β = 90.00°, γ = 90.00°
Fractional coordinates of all 5 atoms:
1 Zr 0.0000 0.0000 0.5000
2 Zr 0.0000 0.5000 0.0000
3 Zr 0.5000 0.0000 0.0000
4 P 0.0000 0.0000 0.0000
5 F 0.5000 0.5000 0.5000

Results
Formation energy (no corrections) (eV/atom): -0.14



This record from Alexandria describes a PBEsol-optimized structure of ZrPF2. The functional is SCAN.

a = 5.2331 Å, b = 5.2331 Å, c = 5.2331 Å
α = 41.26°, β = 41.26°, γ = 41.26°
Fractional coordinates of all 4 atoms:
1 Zr 0.0000 0.0000 0.0000
2 P 0.5000 0.5000 0.5000
3 F 0.2998 0.2998 0.2998
4 F 0.7002 0.7002 0.7002

Results
Formation energy (no corrections) (eV/atom): -1.95



This record from Alexandria describes a PBEsol-optimized structure of RbPaF6. The functional is SCAN.

a = 6.9339 Å, b = 6.9339 Å, c = 6.9475 Å
α = 90.00°, β = 90.00°, γ = 110.22°
Fractional coordinates of all 16 atoms:
1 Rb 0.2500 0.7500 0.9962
2 Rb 0.7500 0.2500 0.0038
3 Pa 0.0000 0.5000 0.5000
4 Pa 0.5000 0.0000 0.5000
5 F 0.1041 0.3834 0.7449
6 F 0.1166 0.3959 0.2551
7 F 0.1463 0.8537 0.5091
8 F 0.3537 0.6463 0.5091
9 F 0.3834 0.1041 0.2551
10 F 0.3959 0.1166 0.7449
11 F 0.6041 0.8834 0.2551
12 F 0.6166 0.8959 0.7449
13 F 0.6463 0.3537 0.4909
14 F 0.8537 0.1463 0.4909
15 F 0.8834 0.6041 0.7449
16 F 0.8959 0.6166 0.2551

Results
Formation energy (no corrections) (eV/atom): -3.70



This record from Alexandria describes a PBEsol-optimized structure of PbF4. The functional is SCAN.

a = 5.0709 Å, b = 5.0709 Å, c = 5.0709 Å
α = 129.79°, β = 129.79°, γ = 73.74°
Fractional coordinates of all 5 atoms:
1 Pb 0.0000 0.0000 0.0000
2 F 0.0000 0.5000 0.5000
3 F 0.2441 0.2441 0.0000
4 F 0.5000 0.0000 0.5000
5 F 0.7559 0.7559 0.0000

Results
Formation energy (no corrections) (eV/atom): -1.88



This record from Alexandria describes a PBEsol-optimized structure of PdPb2F6. The functional is SCAN.

a = 8.8155 Å, b = 8.8155 Å, c = 5.8799 Å
α = 90.00°, β = 90.00°, γ = 39.05°
Fractional coordinates of all 18 atoms:
1 Pd 0.0000 0.0000 0.0000
2 Pd 0.5000 0.5000 0.5000
3 Pb 0.1621 0.1621 0.5000
4 Pb 0.3379 0.3379 0.0000
5 Pb 0.6621 0.6621 0.0000
6 Pb 0.8379 0.8379 0.5000
7 F 0.0100 0.4900 0.7500
8 F 0.0796 0.7500 0.8345
9 F 0.2500 0.5796 0.3345
10 F 0.2500 0.9204 0.8345
11 F 0.4204 0.7500 0.3345
12 F 0.4900 0.0100 0.2500
13 F 0.5100 0.9900 0.7500
14 F 0.5796 0.2500 0.6655
15 F 0.7500 0.0796 0.1655
16 F 0.7500 0.4204 0.6655
17 F 0.9204 0.2500 0.1655
18 F 0.9900 0.5100 0.2500

Results
Formation energy (no corrections) (eV/atom): -2.09



This record from Alexandria describes a PBEsol-optimized structure of PtPb3F. The functional is SCAN.

a = 5.3337 Å, b = 5.3337 Å, c = 5.3337 Å
α = 90.00°, β = 90.00°, γ = 90.00°
Fractional coordinates of all 5 atoms:
1 Pt 0.0000 0.0000 0.0000
2 Pb 0.0000 0.0000 0.5000
3 Pb 0.0000 0.5000 0.0000
4 Pb 0.5000 0.0000 0.0000
5 F 0.5000 0.5000 0.5000

Results
Formation energy (no corrections) (eV/atom): -0.14



This record from Alexandria describes a PBEsol-optimized structure of PtPbF3. The functional is SCAN.

a = 4.5300 Å, b = 4.5300 Å, c = 4.5300 Å
α = 90.00°, β = 90.00°, γ = 90.00°
Fractional coordinates of all 5 atoms:
1 Pt 0.0000 0.0000 0.0000
2 Pb 0.5000 0.5000 0.5000
3 F 0.0000 0.5000 0.5000
4 F 0.5000 0.0000 0.5000
5 F 0.5000 0.5000 0.0000

Results
Formation energy (no corrections) (eV/atom): -0.66



This record from Alexandria describes a PBEsol-optimized structure of Ta2PtPbF. The functional is SCAN.

a = 4.9916 Å, b = 4.9916 Å, c = 4.0855 Å
α = 90.00°, β = 90.00°, γ = 90.00°
Fractional coordinates of all 5 atoms:
1 Ta 0.0000 0.5000 0.0000
2 Ta 0.5000 0.0000 0.0000
3 Pt 0.0000 0.0000 0.0000
4 Pb 0.5000 0.5000 0.5000
5 F 0.0000 0.0000 0.5000

Results
Formation energy (no corrections) (eV/atom): 0.62



This record from Alexandria describes a PBEsol-optimized structure of ReTe2PbF. The functional is SCAN.

a = 5.0840 Å, b = 5.0840 Å, c = 5.4297 Å
α = 90.00°, β = 90.00°, γ = 90.00°
Fractional coordinates of all 5 atoms:
1 Re 0.0000 0.0000 0.0000
2 Te 0.0000 0.5000 0.0000
3 Te 0.5000 0.0000 0.0000
4 Pb 0.0000 0.0000 0.5000
5 F 0.5000 0.5000 0.5000

Results
Formation energy (no corrections) (eV/atom): 0.18